No. 1
A relaxed TmPuU crystal. Source: the Alexandria database, functional PBE-GGA.

Lattice parameters (Å, degrees): 3.484 3.484 11.909 90.00 90.00 90.00
Space group I4mm (No. 107)
Inequivalent atoms, fractional coordinates:
Tm (0.000, 0.000, 0.000) [2 per cell]
Pu (0.000, 0.000, 0.293) [2 per cell]
U (0.000, 0.000, 0.715) [2 per cell]

- total DFT energy (no corrections) (eV/atom) = -9.806
- magnetization (μB/atom) = 1.26
- N(E_F) (states/eV per cell) = 14.18


No. 2
A relaxed TmPu2U crystal. Source: the Alexandria database, functional PBE-GGA.

Lattice parameters (Å, degrees): 3.3194 3.3194 31.2023 90.00 90.00 120.00
Space group R-3m (No. 166, hexagonal axes)
Inequivalent atoms, fractional coordinates:
Tm (0.0000, 0.0000, 0.0000) [3 per cell]
Pu (0.0000, 0.0000, 0.2420) [6 per cell]
U (0.0000, 0.0000, 0.5000) [3 per cell]

- total DFT energy (no corrections) (eV/atom) = -10.853
- magnetization (μB/atom) = 2.79
- N(E_F) (states/eV per cell) = 39.76